Entry from Alexandria: a relaxed Th8Co3OsSe4 crystal (GGA-PBE).

a = 8.0877 Å, b = 8.6846 Å, c = 8.0892 Å
α = 117.76°, β = 119.99°, γ = 90.00°
Last column: nearest neighbours and their distance in Å.
Positions (direct):
1 Th 0.2391 0.7116 0.4783  2 Co 2.79, 1 Os 2.83
2 Th 0.7355 0.7061 0.4711  3 Co 2.78
3 Th 0.7609 0.2884 0.5217  2 Co 2.79, 1 Os 2.83
4 Th 0.7335 0.7114 0.9726  2 Co 2.79, 1 Os 2.82
5 Th 0.2391 0.7114 0.9726  2 Co 2.79, 1 Os 2.82
6 Th 0.2665 0.2886 0.0274  2 Co 2.79, 1 Os 2.82
7 Th 0.2645 0.2939 0.5289  3 Co 2.78
8 Th 0.7609 0.2886 0.0274  2 Co 2.79, 1 Os 2.82
9 Se 0.5000 0.0000 0.0000  6 Th 3.13
10 Se 0.5000 0.0000 0.5000  6 Th 3.16-3.18
11 Se 0.0000 0.0000 0.5000  6 Th 3.16-3.18
12 Se 0.0000 0.0000 0.0000  6 Th 3.16-3.17
13 Co 0.5000 0.5000 0.0000  6 Th 2.78-2.79
14 Co 0.5000 0.5000 0.5000  6 Th 2.78-2.79
15 Co 0.0000 0.5000 0.5000  6 Th 2.78-2.79
16 Os 0.0000 0.5000 0.0000  6 Th 2.82-2.83

## Properties
* energy relative to the elements, uncorrected: -0.96 eV per atom
* magnetic moment: 0.00 μB per cell